{
  "formula": "SmHoIrPd",
  "functional": "PBE",
  "state": "optimized geometry",
  "crystal_system": "cubic",
  "delta_e_f_ev_per_atom": -0.837,
  "sg": "F-43m (216)",
  "lattice": [[-0.994, 0.352, -4.827], [-3.404, -2.941, -2.041], [-4.312, 1.885, -1.503]],
  "species": ["Ho", "Ir", "Pd", "Sm"],
  "frac_coords": [[0.500, 0.500, 0.500], [0.750, 0.750, 0.750], [0.250, 0.250, 0.250], [0.000, 0.000, 0.000]]
}

---

{
  "formula": "Ho5Er4Sc2",
  "functional": "PBE",
  "state": "optimized geometry",
  "crystal_system": "monoclinic",
  "polymorph_energy_mev_per_atom": 0,
  "delta_e_f_ev_per_atom": 0.037,
  "sg": "C2/m (12)",
  "lattice": [[7.516, -4.645, 7.351], [8.821, -5.923, 4.382], [3.189, 7.657, -1.894]],
  "species": ["Ho", "Sc", "Er", "Er", "Er", "Ho", "Ho", "Ho", "Er", "Ho", "Sc"],
  "frac_coords": [[0.775, 0.775, 0.184], [0.410, 0.410, 0.276], [0.044, 0.044, 0.366], [0.956, 0.956, 0.634], [0.681, 0.681, 0.453], [0.500, 0.500, 0.000], [0.225, 0.225, 0.816], [0.865, 0.865, 0.915], [0.319, 0.319, 0.547], [0.135, 0.135, 0.085], [0.590, 0.590, 0.724]]
}

---

{
  "formula": "TaNb2Rh",
  "functional": "PBE",
  "state": "optimized geometry",
  "crystal_system": "tetragonal",
  "polymorph_energy_mev_per_atom": 0,
  "delta_e_f_ev_per_atom": -0.251,
  "sg": "P4mm (99)",
  "lattice": [[-1.313, 2.992, 0.284], [-2.868, -1.340, 0.857], [1.755, 0.185, 6.161]],
  "species": ["Rh", "Nb", "Nb", "Ta"],
  "frac_coords": [[0.000, 0.000, 0.504], [0.000, 0.000, 0.000], [0.500, 0.500, 0.249], [0.500, 0.500, 0.747]]
}

---

{
  "formula": "Cd2InAg8",
  "functional": "PBE",
  "state": "optimized geometry",
  "crystal_system": "monoclinic",
  "polymorph_energy_mev_per_atom": 0,
  "delta_e_f_ev_per_atom": -0.031,
  "sg": "C2/m (12)",
  "lattice": [[-3.488, 0.981, -2.210], [3.096, -1.710, -5.646], [-1.638, -6.806, 3.640]],
  "species": ["Ag", "Ag", "Ag", "Cd", "Ag", "Ag", "Ag", "Ag", "Ag", "Cd", "In"],
  "frac_coords": [[0.956, 0.276, 0.912], [0.590, 0.454, 0.180], [0.862, 0.817, 0.724], [0.777, 0.358, 0.553], [0.319, 0.090, 0.638], [0.410, 0.546, 0.820], [0.681, 0.910, 0.362], [0.044, 0.724, 0.088], [0.138, 0.183, 0.276], [0.223, 0.642, 0.447], [0.500, 0.000, 0.000]]
}

---

{
  "formula": "Cs3Pr2DyO6",
  "functional": "PBE",
  "state": "optimized geometry",
  "crystal_system": "monoclinic",
  "formation_energy_uncorrected_ev_per_atom": -2.524,
  "sg": "C2/m (12)",
  "lattice": [[6.372, -0.001, 0.001], [-3.186, 5.519, 0.001], [-1.061, -1.838, 6.941]],
  "species": ["O", "Cs", "Cs", "O", "O", "O", "O", "Cs", "Pr", "O", "Pr", "Dy"],
  "frac_coords": [[0.623, 0.944, 0.832], [0.166, 0.834, 0.500], [0.500, 0.500, 0.500], [0.735, 0.735, 0.169], [0.056, 0.377, 0.168], [0.944, 0.623, 0.832], [0.265, 0.265, 0.831], [0.834, 0.166, 0.500], [0.333, 0.667, 0.000], [0.377, 0.056, 0.168], [0.667, 0.333, 0.000], [0.000, 0.000, 0.000]]
}

---

{
  "formula": "TbPr7Pb4",
  "functional": "PBE",
  "state": "optimized geometry",
  "crystal_system": "monoclinic",
  "delta_e_f_ev_per_atom": -0.174,
  "sg": "C2/m (12)",
  "lattice": [[6.027, 0.000, 0.000], [3.013, 9.304, 0.175], [3.013, 0.526, 7.278]],
  "species": ["Pb", "Pr", "Pr", "Pr", "Pb", "Pr", "Pb", "Pb", "Pr", "Pr", "Tb", "Pr"],
  "frac_coords": [[0.565, 0.239, 0.631], [0.792, 0.892, 0.525], [0.054, 0.630, 0.263], [0.500, 0.000, 0.000], [0.299, 0.329, 0.074], [0.946, 0.370, 0.737], [0.701, 0.671, 0.926], [0.435, 0.761, 0.369], [0.208, 0.108, 0.475], [0.694, 0.383, 0.230], [0.000, 0.000, 0.000], [0.306, 0.617, 0.770]]
}

---

{
  "formula": "SrTa3I",
  "functional": "PBE",
  "state": "optimized geometry",
  "crystal_system": "cubic",
  "polymorph_energy_mev_per_atom": 0,
  "formation_energy_uncorrected_ev_per_atom": 1.764,
  "sg": "Pm-3m (221)",
  "lattice": [[5.136, 0.000, 0.000], [0.000, 5.136, 0.000], [0.000, 0.000, 5.136]],
  "species": ["Ta", "I", "Ta", "Sr", "Ta"],
  "frac_coords": [[0.000, 0.000, 0.500], [0.000, 0.000, 0.000], [0.000, 0.500, 0.000], [0.500, 0.500, 0.500], [0.500, 0.000, 0.000]]
}

---

{
  "formula": "Ti2CdBr2",
  "functional": "PBE",
  "state": "optimized geometry",
  "crystal_system": "tetragonal",
  "polymorph_energy_mev_per_atom": 0,
  "formation_energy_uncorrected_ev_per_atom": -0.042,
  "sg": "I4/mmm (139)",
  "lattice": [[4.481, 0.000, 0.000], [0.000, 4.481, 0.000], [2.240, 2.240, 5.657]],
  "species": ["Br", "Ti", "Cd", "Br", "Ti"],
  "frac_coords": [[0.750, 0.250, 0.500], [0.392, 0.392, 0.216], [0.000, 0.000, 0.000], [0.250, 0.750, 0.500], [0.608, 0.608, 0.784]]
}

---

{
  "formula": "GaAg3O",
  "functional": "PBE",
  "state": "optimized geometry",
  "crystal_system": "cubic",
  "polymorph_energy_mev_per_atom": 807,
  "formation_energy_uncorrected_ev_per_atom": 0.927,
  "sg": "Pm-3m (221)",
  "lattice": [[-3.775, -1.427, -2.697], [0.790, -4.601, 1.328], [-2.947, 0.594, 3.810]],
  "species": ["Ga", "Ag", "Ag", "Ag", "O"],
  "frac_coords": [[0.000, 0.000, 0.000], [0.500, 0.000, 0.000], [0.000, 0.500, 0.000], [0.000, 0.000, 0.500], [0.500, 0.500, 0.500]]
}

---

{
  "formula": "NaPrTlZn",
  "functional": "PBE",
  "state": "optimized geometry",
  "crystal_system": "cubic",
  "delta_e_f_ev_per_atom": -0.188,
  "sg": "F-43m (216)",
  "lattice": [[-4.750, 2.312, -0.203], [-4.138, -2.245, 2.406], [-2.052, 2.211, 4.342]],
  "species": ["Pr", "Na", "Tl", "Zn"],
  "frac_coords": [[0.750, 0.750, 0.750], [0.250, 0.250, 0.250], [0.500, 0.500, 0.500], [0.000, 0.000, 0.000]]
}

---

{
  "formula": "SmEr2Pd",
  "functional": "PBE",
  "state": "optimized geometry",
  "crystal_system": "orthorhombic",
  "polymorph_energy_mev_per_atom": 0,
  "delta_e_f_ev_per_atom": -0.471,
  "sg": "Pnma (62)",
  "lattice": [[6.488, 0.000, 0.000], [0.000, 7.056, 0.000], [0.000, 0.000, 9.638]],
  "species": ["Sm", "Er", "Er", "Sm", "Pd", "Pd", "Pd", "Pd", "Er", "Er", "Sm", "Sm", "Er", "Er", "Er", "Er"],
  "frac_coords": [[0.868, 0.017, 0.250], [0.673, 0.821, 0.560], [0.327, 0.179, 0.060], [0.368, 0.483, 0.750], [0.430, 0.888, 0.250], [0.930, 0.612, 0.750], [0.070, 0.388, 0.250], [0.570, 0.112, 0.750], [0.673, 0.821, 0.940], [0.173, 0.679, 0.440], [0.132, 0.983, 0.750], [0.632, 0.517, 0.250], [0.173, 0.679, 0.060], [0.827, 0.321, 0.560], [0.827, 0.321, 0.940], [0.327, 0.179, 0.440]]
}

---

{
  "formula": "Sc3TlN",
  "functional": "PBE",
  "state": "optimized geometry",
  "crystal_system": "tetragonal",
  "formation_energy_uncorrected_ev_per_atom": -0.467,
  "sg": "I-4m2 (119)",
  "lattice": [[6.200, 0.000, 0.000], [0.000, 6.200, 0.000], [3.100, 3.100, 5.612]],
  "species": ["N", "Tl", "N", "Sc", "Tl", "Sc", "Sc", "Sc", "Sc", "Sc"],
  "frac_coords": [[0.000, 0.000, 0.000], [0.616, 0.116, 0.768], [0.250, 0.750, 0.500], [0.121, 0.874, 0.758], [0.884, 0.384, 0.232], [0.371, 0.371, 0.258], [0.121, 0.368, 0.758], [0.632, 0.879, 0.242], [0.126, 0.879, 0.242], [0.629, 0.629, 0.742]]
}

---

{
  "formula": "RbLiPuI5",
  "functional": "PBE",
  "state": "optimized geometry",
  "crystal_system": "monoclinic",
  "formation_energy_uncorrected_ev_per_atom": -1.197,
  "sg": "C2/c (15)",
  "lattice": [[-7.072, -2.515, 4.215], [4.921, -6.987, -1.029], [5.794, 6.330, 7.851]],
  "species": ["Rb", "I", "Pu", "I", "I", "I", "I", "Li", "Rb", "Li", "I", "Pu", "I", "I", "I", "I"],
  "frac_coords": [[0.353, 0.647, 0.250], [0.080, 0.920, 0.250], [0.000, 0.000, 0.500], [0.090, 0.684, 0.892], [0.239, 0.379, 0.566], [0.316, 0.910, 0.608], [0.684, 0.090, 0.392], [0.693, 0.307, 0.250], [0.647, 0.353, 0.750], [0.307, 0.693, 0.750], [0.920, 0.080, 0.750], [0.000, 0.000, 0.000], [0.910, 0.316, 0.108], [0.379, 0.239, 0.066], [0.761, 0.621, 0.434], [0.621, 0.761, 0.934]]
}

---

{
  "formula": "KLiMg",
  "functional": "PBE",
  "state": "optimized geometry",
  "crystal_system": "triclinic",
  "polymorph_energy_mev_per_atom": 2,
  "delta_e_f_ev_per_atom": 0.080,
  "sg": "P-1 (2)",
  "lattice": [[5.033, 0.019, -0.016], [2.498, 4.371, -0.048], [0.062, 0.128, 10.709]],
  "species": ["Li", "K", "Mg", "K", "Li", "Mg"],
  "frac_coords": [[0.501, 0.001, 0.379], [0.832, 0.331, 0.828], [0.167, 0.667, 0.535], [0.168, 0.669, 0.172], [0.499, 0.999, 0.621], [0.833, 0.333, 0.465]]
}

---

{
  "formula": "SrScSn",
  "functional": "PBE",
  "state": "optimized geometry",
  "crystal_system": "tetragonal",
  "delta_e_f_ev_per_atom": -0.587,
  "sg": "P4/nmm (129)",
  "lattice": [[-3.180, 2.093, -2.862], [-3.526, -2.270, 2.258], [-0.651, 6.352, 5.369]],
  "species": ["Sc", "Sr", "Sn", "Sc", "Sr", "Sn"],
  "frac_coords": [[0.500, 0.500, 0.500], [0.000, 0.500, 0.847], [0.000, 0.500, 0.274], [0.000, 0.000, 0.500], [0.500, 0.000, 0.153], [0.500, 0.000, 0.726]]
}

---

Number 1: total moment 0.00 μB per formula unit, Fermi-level density of states 2.2 states/eV per cell. Number 2: total moment 0.00 μB per formula unit, Fermi-level density of states 16.1 states/eV per cell. Number 3: total moment 0.00 μB per formula unit, Fermi-level density of states 3.5 states/eV per cell. Number 4: total moment 0.00 μB per formula unit, Fermi-level density of states 2.8 states/eV per cell. Number 5: total moment 0.00 μB per formula unit, Fermi-level density of states 0.0 states/eV per cell. Number 6: total moment 0.00 μB per formula unit, Fermi-level density of states 11.3 states/eV per cell. Number 7: total moment 0.00 μB per formula unit, Fermi-level density of states 11.0 states/eV per cell. Number 8: total moment 0.00 μB per formula unit, Fermi-level density of states 4.4 states/eV per cell. Number 9: total moment 0.00 μB per formula unit, Fermi-level density of states 4.0 states/eV per cell. Number 10: total moment 0.00 μB per formula unit, Fermi-level density of states 2.4 states/eV per cell. Number 11: total moment 0.00 μB per formula unit, Fermi-level density of states 18.7 states/eV per cell. Number 12: total moment 0.00 μB per formula unit, Fermi-level density of states 5.9 states/eV per cell. Number 13: total moment 5.00 μB per formula unit, Fermi-level density of states 27.0 states/eV per cell. Number 14: total moment 0.00 μB per formula unit, Fermi-level density of states 3.2 states/eV per cell. Number 15: total moment 0.97 μB per formula unit, Fermi-level density of states 3.4 states/eV per cell.